The following is a PBE+U calculation of a geometry-optimized K2MnP4H8O16 structure, from Alexandria via LeMat-Bulk.

```
K2MnP4H8O16
1.0
9.8127 0.0000 0.0000
0.0000 11.3733 0.0000
0.0000 0.0000 13.7843
K Mn P H O
8 4 16 32 64
direct
0.0937 0.2500 0.0988 K
0.2493 0.2500 0.6266 K
0.2507 0.7500 0.1266 K
0.4063 0.7500 0.5988 K
0.5937 0.2500 0.4012 K
0.7493 0.2500 0.8734 K
0.7507 0.7500 0.3734 K
0.9063 0.7500 0.9012 K
0.1674 0.2500 0.3620 Mn
0.3326 0.7500 0.8620 Mn
0.6674 0.2500 0.1380 Mn
0.8326 0.7500 0.6380 Mn
0.0540 0.5178 0.2804 P
0.0540 0.9822 0.2804 P
0.2470 0.0187 0.9423 P
0.2470 0.4813 0.9423 P
0.2530 0.5187 0.4423 P
0.2530 0.9813 0.4423 P
0.4460 0.0178 0.7804 P
0.4460 0.4822 0.7804 P
0.5540 0.5178 0.2196 P
0.5540 0.9822 0.2196 P
0.7470 0.0187 0.5577 P
0.7470 0.4813 0.5577 P
0.7530 0.5187 0.0577 P
0.7530 0.9813 0.0577 P
0.9460 0.0178 0.7196 P
0.9460 0.4822 0.7196 P
0.0418 0.0825 0.8899 H
0.0418 0.4175 0.8899 H
0.0495 0.6805 0.5172 H
0.0495 0.8195 0.5172 H
0.1073 0.0113 0.6041 H
0.1073 0.4887 0.6041 H
0.1170 0.6830 0.7308 H
0.1170 0.8170 0.7308 H
0.3830 0.1830 0.2308 H
0.3830 0.3170 0.2308 H
0.3927 0.5113 0.1041 H
0.3927 0.9887 0.1041 H
0.4505 0.1805 0.0172 H
0.4505 0.3195 0.0172 H
0.4582 0.5825 0.3899 H
0.4582 0.9175 0.3899 H
0.5418 0.0825 0.6101 H
0.5418 0.4175 0.6101 H
0.5495 0.6805 0.9828 H
0.5495 0.8195 0.9828 H
0.6073 0.0113 0.8959 H
0.6073 0.4887 0.8959 H
0.6170 0.6830 0.7692 H
0.6170 0.8170 0.7692 H
0.8830 0.1830 0.2692 H
0.8830 0.3170 0.2692 H
0.8927 0.5113 0.3959 H
0.8927 0.9887 0.3959 H
0.9505 0.1805 0.4828 H
0.9505 0.3195 0.4828 H
0.9582 0.5825 0.1101 H
0.9582 0.9175 0.1101 H
0.0119 0.2500 0.4792 O
0.0529 0.1167 0.2777 O
0.0529 0.3833 0.2777 O
0.0631 0.5803 0.1842 O
0.0631 0.9197 0.1842 O
0.0731 0.0638 0.6612 O
0.0731 0.4362 0.6612 O
0.1124 0.0924 0.9467 O
0.1124 0.4076 0.9467 O
0.1614 0.5621 0.5238 O
0.1614 0.9379 0.5238 O
0.1810 0.7500 0.7373 O
0.1880 0.5611 0.3391 O
0.1880 0.9389 0.3391 O
0.2222 0.6130 0.9379 O
0.2222 0.8870 0.9379 O
0.2778 0.1130 0.4379 O
0.2778 0.3870 0.4379 O
0.3120 0.0611 0.8391 O
0.3120 0.4389 0.8391 O
0.3190 0.2500 0.2373 O
0.3386 0.0621 0.0238 O
0.3386 0.4379 0.0238 O
0.3876 0.5924 0.4467 O
0.3876 0.9076 0.4467 O
0.4269 0.5638 0.1612 O
0.4269 0.9362 0.1612 O
0.4369 0.0803 0.6842 O
0.4369 0.4197 0.6842 O
0.4471 0.6167 0.7777 O
0.4471 0.8833 0.7777 O
0.4881 0.7500 0.9792 O
0.5119 0.2500 0.0208 O
0.5529 0.1167 0.2223 O
0.5529 0.3833 0.2223 O
0.5631 0.5803 0.3158 O
0.5631 0.9197 0.3158 O
0.5731 0.0638 0.8388 O
0.5731 0.4362 0.8388 O
0.6124 0.0924 0.5533 O
0.6124 0.4076 0.5533 O
0.6614 0.5621 0.9762 O
0.6614 0.9379 0.9762 O
0.6810 0.7500 0.7627 O
0.6880 0.5611 0.1609 O
0.6880 0.9389 0.1609 O
0.7222 0.6130 0.5621 O
0.7222 0.8870 0.5621 O
0.7778 0.1130 0.0621 O
0.7778 0.3870 0.0621 O
0.8120 0.0611 0.6609 O
0.8120 0.4389 0.6609 O
0.8190 0.2500 0.2627 O
0.8386 0.0621 0.4762 O
0.8386 0.4379 0.4762 O
0.8876 0.5924 0.0533 O
0.8876 0.9076 0.0533 O
0.9269 0.5638 0.3388 O
0.9269 0.9362 0.3388 O
0.9369 0.0803 0.8158 O
0.9369 0.4197 0.8158 O
0.9471 0.6167 0.7223 O
0.9471 0.8833 0.7223 O
0.9881 0.7500 0.5208 O
```

Calculated values
electronic total energy	-6.227	eV per atom
volume	1538.4	Å³ per cell